# GGA-PBE AlSbS2, relaxed
data_AlSbS2
_cell_length_a 4.7392
_cell_length_b 4.7392
_cell_length_c 3.3495
_cell_angle_alpha 90.00
_cell_angle_beta 90.00
_cell_angle_gamma 90.00
_symmetry_space_group_name_H-M 'P 4/m m m'
_symmetry_Int_Tables_number 123
_symmetry_space_group_name_Hall '-P 4 2'
loop_
_atom_site_label
_atom_site_type_symbol
_atom_site_fract_x
_atom_site_fract_y
_atom_site_fract_z
Al1 Al 0.0000 0.0000 0.0000
Sb1 Sb 0.5000 0.5000 0.0000
S1 S 0.0000 0.5000 0.5000
# Size of the total moment   0.0 μB per formula unit
# ΔE_f (raw)   84 meV/atom
# Total DFT energy (no corrections)   -15.8 eV per cell